No. 1
The following is a DFT calculation (GGA-PBE) of an optimized crystal structure of Tb9Ho4Al11.

Cell lengths 13.5557, 13.5557, 3.3783 Å; angles 90.00, 90.00, 110.73 degrees
Last column: nearest neighbours and their distance in Å.
Element x y z (fractional)
1 Tb 0.0000 0.0000 0.0000  4 Al 3.19, 4 Ho 3.27, 2 Tb 3.38
2 Tb 0.1135 0.6615 0.0000  8 Al 3.11-3.36, 1 Ho 3.32, 3 Tb 3.38-3.47
3 Tb 0.2964 0.4860 0.0000  8 Al 3.08-3.20, 1 Ho 3.34, 3 Tb 3.35-3.38
4 Tb 0.3385 0.8865 0.0000  8 Al 3.11-3.36, 1 Ho 3.32, 3 Tb 3.38-3.47
5 Tb 0.4860 0.2964 0.0000  8 Al 3.08-3.20, 1 Ho 3.34, 3 Tb 3.35-3.38
6 Tb 0.5140 0.7036 0.0000  8 Al 3.08-3.20, 1 Ho 3.34, 3 Tb 3.35-3.38
7 Tb 0.6615 0.1135 0.0000  8 Al 3.11-3.36, 1 Ho 3.32, 3 Tb 3.38-3.47
8 Tb 0.7036 0.5140 0.0000  8 Al 3.08-3.20, 1 Ho 3.34, 3 Tb 3.35-3.38
9 Tb 0.8865 0.3385 0.0000  8 Al 3.11-3.36, 1 Ho 3.32, 3 Tb 3.38-3.47
10 Ho 0.0914 0.2581 0.0000  6 Al 3.12-3.29, 3 Tb 3.27-3.34, 2 Ho 3.38
11 Ho 0.2581 0.0914 0.0000  6 Al 3.12-3.29, 3 Tb 3.27-3.34, 2 Ho 3.38
12 Ho 0.7419 0.9086 0.0000  6 Al 3.12-3.29, 3 Tb 3.27-3.34, 2 Ho 3.38
13 Ho 0.9086 0.7419 0.0000  6 Al 3.12-3.29, 3 Tb 3.27-3.34, 2 Ho 3.38
14 Al 0.0874 0.4580 0.5000  1 Al 2.97, 6 Tb 3.13-3.20, 2 Ho 3.21
15 Al 0.1215 0.8785 0.5000  6 Tb 3.19-3.36, 4 Ho 3.29, 2 Al 3.38
16 Al 0.2951 0.2951 0.5000  4 Tb 3.08, 4 Ho 3.12, 3 Al 3.16-3.38
17 Al 0.3136 0.6864 0.5000  8 Tb 3.11-3.14, 2 Al 3.38
18 Al 0.4580 0.0874 0.5000  1 Al 2.97, 6 Tb 3.13-3.20, 2 Ho 3.21
19 Al 0.5000 0.5000 0.5000  4 Al 3.16-3.38, 8 Tb 3.18
20 Al 0.5420 0.9126 0.5000  1 Al 2.97, 6 Tb 3.13-3.20, 2 Ho 3.21
21 Al 0.6864 0.3136 0.5000  8 Tb 3.11-3.14, 2 Al 3.38
22 Al 0.7049 0.7049 0.5000  4 Tb 3.08, 4 Ho 3.12, 3 Al 3.16-3.38
23 Al 0.8785 0.1215 0.5000  6 Tb 3.19-3.36, 4 Ho 3.29, 2 Al 3.38
24 Al 0.9126 0.5420 0.5000  1 Al 2.97, 6 Tb 3.13-3.20, 2 Ho 3.21



No. 2
The following is a DFT calculation (GGA-PBE) of an optimized crystal structure of Tb2Ho2Al.

Cell lengths 6.4798, 6.4798, 8.7339 Å; angles 131.93, 131.93, 33.15 degrees
Last column: nearest neighbours and their distance in Å.
Element x y z (fractional)
1 Tb 0.0833 0.0833 0.3582  2 Al 3.12
2 Tb 0.9167 0.9167 0.6418  2 Al 3.12
3 Ho 0.2650 0.2650 0.1791  2 Al 3.09, 2 Ho 3.42
4 Ho 0.7350 0.7350 0.8209  2 Al 3.09, 2 Ho 3.42
5 Al 0.5000 0.5000 0.0000  4 Ho 3.09, 4 Tb 3.12

Computed properties:
Energy above the lowest structure with this stoichiometry: 0 meV per atom



No. 3
The following is a DFT calculation (GGA-PBE) of an optimized crystal structure of TbHo2Al9.

Cell lengths 9.3196, 9.3196, 9.3196 Å; angles 34.72, 34.72, 34.72 degrees
Last column: nearest neighbours and their distance in Å.
Element x y z (fractional)
1 Tb 0.0000 0.0000 0.0000  18 Al 3.21-3.54
2 Ho 0.1421 0.1421 0.1421  12 Al 3.18-3.27, 3 Ho 3.46
3 Ho 0.8579 0.8579 0.8579  12 Al 3.18-3.27, 3 Ho 3.46
4 Al 0.0762 0.5874 0.5874  7 Al 2.70-2.84
5 Al 0.3354 0.3354 0.3354  6 Al 2.70-2.74
6 Al 0.4126 0.4126 0.9238  7 Al 2.70-2.84
7 Al 0.4126 0.9238 0.4126  7 Al 2.70-2.84
8 Al 0.5000 0.5000 0.5000  6 Al 2.73
9 Al 0.5874 0.0762 0.5874  7 Al 2.70-2.84
10 Al 0.5874 0.5874 0.0762  7 Al 2.70-2.84
11 Al 0.6646 0.6646 0.6646  6 Al 2.70-2.74
12 Al 0.9238 0.4126 0.4126  7 Al 2.70-2.84

Computed properties:
Energy above the lowest structure with this stoichiometry: 53 meV per atom



Size of the total moment? In order: 0.00 0.00 0.00 μB/f.u..
Total energy? In order: -4.54 -4.56 -4.32 eV per atom.